#one
AcGd2Si after structural relaxation, computed with PBE-GGA.

## Properties
As for the density of states at the Fermi level: 4.48 states/eV/f.u. As for the crystal system: trigonal.

Geometry as CIF:
```
data_AcGd2Si
_chemical_formula_sum 'Ac3 Gd6 Si3'
_symmetry_space_group_name_H-M 'R -3 m'
_symmetry_Int_Tables_number 166
_symmetry_space_group_name_Hall '-R 3 2"'
_cell_length_a 4.0423
_cell_length_b 4.0423
_cell_length_c 28.9866
_cell_angle_alpha 90.00
_cell_angle_beta 90.00
_cell_angle_gamma 120.00
loop_
_atom_site_label
_atom_site_fract_x
_atom_site_fract_y
_atom_site_fract_z
Ac1 0.0000 0.0000 0.0000
Gd1 0.0000 0.0000 0.2231
Si1 0.0000 0.0000 0.5000
```


#two
AcGd2Si after structural relaxation, computed with PBE-GGA.

## Properties
As for the density of states at the Fermi level: 5.09 states/eV/f.u. As for the crystal system: tetragonal.

Geometry as CIF:
```
data_AcGd2Si
_chemical_formula_sum 'Ac1 Gd2 Si1'
_symmetry_space_group_name_H-M 'P 4/m m m'
_symmetry_Int_Tables_number 123
_symmetry_space_group_name_Hall '-P 4 2'
_cell_length_a 3.791
_cell_length_b 3.791
_cell_length_c 8.279
_cell_angle_alpha 90.00
_cell_angle_beta 90.00
_cell_angle_gamma 90.00
loop_
_atom_site_label
_atom_site_fract_x
_atom_site_fract_y
_atom_site_fract_z
Ac1 0.000 0.000 0.000
Gd1 0.500 0.500 0.320
Si1 0.000 0.000 0.500
```


Stability ranking, top entry: #two; the second entry is 53 meV per atom less favorable.


#one
AcSmGd after structural relaxation, computed with PBE-GGA.

## Properties
As for the density of states at the Fermi level: 4.83 states/eV/f.u. As for the crystal system: trigonal.

Geometry as CIF:
```
data_AcSmGd
_chemical_formula_sum 'Ac1 Sm1 Gd1'
_symmetry_space_group_name_H-M 'P 3 m 1'
_symmetry_Int_Tables_number 156
_symmetry_space_group_name_Hall 'P 3 -2"'
_cell_length_a 3.7663
_cell_length_b 3.7663
_cell_length_c 9.0219
_cell_angle_alpha 90.00
_cell_angle_beta 90.00
_cell_angle_gamma 120.00
loop_
_atom_site_label
_atom_site_fract_x
_atom_site_fract_y
_atom_site_fract_z
Ac1 0.0000 0.0000 0.0000
Sm1 0.3333 0.6667 0.6576
Gd1 0.6667 0.3333 0.3401
```


#two
AcSmGd after structural relaxation, computed with PBE-GGA.

## Properties
As for the density of states at the Fermi level: 4.56 states/eV/f.u. As for the crystal system: tetragonal.

Geometry as CIF:
```
data_AcSmGd
_chemical_formula_sum 'Ac2 Sm2 Gd2'
_symmetry_space_group_name_H-M 'I 4 m m'
_symmetry_Int_Tables_number 107
_symmetry_space_group_name_Hall 'I 4 -2'
_cell_length_a 3.779
_cell_length_b 3.779
_cell_length_c 15.472
_cell_angle_alpha 90.00
_cell_angle_beta 90.00
_cell_angle_gamma 90.00
loop_
_atom_site_label
_atom_site_fract_x
_atom_site_fract_y
_atom_site_fract_z
Ac1 0.000 0.000 0.000
Sm1 0.000 0.000 0.671
Gd1 0.000 0.000 0.327
```


Stability ranking, top entry: #two; the second entry is 8 meV per atom less favorable.


#one
AcSmGd2 after structural relaxation, computed with PBE-GGA.

## Properties
As for the density of states at the Fermi level: 7.71 states/eV/f.u. As for the crystal system: cubic.

Geometry as CIF:
```
data_AcSmGd2
_chemical_formula_sum 'Ac4 Sm4 Gd8'
_symmetry_space_group_name_H-M 'F m -3 m'
_symmetry_Int_Tables_number 225
_symmetry_space_group_name_Hall '-F 4 2 3'
_cell_length_a 8.316
_cell_length_b 8.316
_cell_length_c 8.316
_cell_angle_alpha 90.00
_cell_angle_beta 90.00
_cell_angle_gamma 90.00
loop_
_atom_site_label
_atom_site_fract_x
_atom_site_fract_y
_atom_site_fract_z
Ac1 0.000 0.000 0.000
Sm1 0.000 0.000 0.500
Gd1 0.250 0.250 0.250
```


#two
AcSmGd2 after structural relaxation, computed with PBE-GGA.

## Properties
As for the density of states at the Fermi level: 6.61 states/eV/f.u. As for the crystal system: tetragonal.

Geometry as CIF:
```
data_AcSmGd2
_chemical_formula_sum 'Ac1 Sm1 Gd2'
_symmetry_space_group_name_H-M 'P 4/m m m'
_symmetry_Int_Tables_number 123
_symmetry_space_group_name_Hall '-P 4 2'
_cell_length_a 3.723
_cell_length_b 3.723
_cell_length_c 10.317
_cell_angle_alpha 90.00
_cell_angle_beta 90.00
_cell_angle_gamma 90.00
loop_
_atom_site_label
_atom_site_fract_x
_atom_site_fract_y
_atom_site_fract_z
Ac1 0.000 0.000 0.000
Sm1 0.000 0.000 0.500
Gd1 0.500 0.500 0.263
```


#three
AcSmGd2 after structural relaxation, computed with PBE-GGA.

## Properties
As for the density of states at the Fermi level: 6.45 states/eV/f.u. As for the crystal system: trigonal.

Geometry as CIF:
```
data_AcSmGd2
_chemical_formula_sum 'Ac3 Sm3 Gd6'
_symmetry_space_group_name_H-M 'R -3 m'
_symmetry_Int_Tables_number 166
_symmetry_space_group_name_Hall '-R 3 2"'
_cell_length_a 3.6251
_cell_length_b 3.6251
_cell_length_c 38.3706
_cell_angle_alpha 90.00
_cell_angle_beta 90.00
_cell_angle_gamma 120.00
loop_
_atom_site_label
_atom_site_fract_x
_atom_site_fract_y
_atom_site_fract_z
Ac1 0.0000 0.0000 0.0000
Sm1 0.0000 0.0000 0.5000
Gd1 0.0000 0.0000 0.0921
```


Stability ranking, top entry: #two; the second entry is 68 meV per atom less favorable.